# GGA-PBE CdCu, relaxed
data_CdCu
_space_group_name_H-M_alt 'P 1'
_space_group_IT_number 1
_space_group_name_Hall 'P 1'
_cell_length_a 2.946
_cell_length_b 2.946
_cell_length_c 8.906
_cell_angle_alpha 90.00
_cell_angle_beta 90.00
_cell_angle_gamma 120.00
loop_
_atom_site_label
_atom_site_type_symbol
_atom_site_fract_x
_atom_site_fract_y
_atom_site_fract_z
Cu1 Cu 0.667 0.333 0.750
Cu2 Cu 0.333 0.667 0.250
Cd1 Cd 0.000 0.000 0.000
Cd2 Cd 0.000 0.000 0.500
# - Magnetic moment: 0.000 μB per formula unit
# - Energy relative to the elements: 0.14 eV per atom

# GGA-PBE SnS2I, relaxed
data_SnS2I
_space_group_name_H-M_alt 'P 1'
_space_group_IT_number 1
_space_group_name_Hall 'P 1'
_cell_length_a 9.184
_cell_length_b 9.184
_cell_length_c 9.184
_cell_angle_alpha 26.79
_cell_angle_beta 26.79
_cell_angle_gamma 26.79
loop_
_atom_site_label
_atom_site_type_symbol
_atom_site_fract_x
_atom_site_fract_y
_atom_site_fract_z
Sn1 Sn 0.000 0.000 0.000
S1 S 0.086 0.086 0.086
S2 S 0.914 0.914 0.914
I1 I 0.500 0.500 0.500
# - Magnetic moment: 0.000 μB per formula unit
# - Energy relative to the lowest polymorph listed for this composition: 654 meV/atom

# GGA-PBE CePr3Sm2As6, relaxed
data_CePr3Sm2As6
_space_group_name_H-M_alt 'P 1'
_space_group_IT_number 1
_space_group_name_Hall 'P 1'
_cell_length_a 7.374
_cell_length_b 7.374
_cell_length_c 7.383
_cell_angle_alpha 99.58
_cell_angle_beta 99.58
_cell_angle_gamma 119.99
loop_
_atom_site_label
_atom_site_type_symbol
_atom_site_fract_x
_atom_site_fract_y
_atom_site_fract_z
Ce1 Ce 0.000 0.000 0.000
Pr1 Pr 0.167 0.833 0.500
Pr2 Pr 0.500 0.500 0.500
Pr3 Pr 0.833 0.167 0.500
As1 As 0.249 0.249 0.757
As2 As 0.081 0.411 0.243
As3 As 0.751 0.751 0.243
As4 As 0.589 0.919 0.757
As5 As 0.919 0.589 0.757
As6 As 0.411 0.081 0.243
Sm1 Sm 0.666 0.334 0.000
Sm2 Sm 0.334 0.666 0.000
# - Magnetic moment: 0.475 μB per formula unit
# - Energy relative to the elements: -1.50 eV per atom